DFT (GGA-PBE) results for a relaxed LaFeMo2 crystal. Values from VASP.

- Energy of formation from the pure elements: 0.45 eV per atom
- Distance to the lowest polymorph of the same formula: 0.0022 eV/atom

Structure (Quantum ESPRESSO input):
```
&SYSTEM
  ibrav = 0, nat = 4, ntyp = 3
/
ATOMIC_SPECIES
La 138.91 La.upf
Fe 55.84 Fe.upf
Mo 95.94 Mo.upf
ATOMIC_POSITIONS crystal
La 0.0000 0.0000 0.0000
Fe 0.5000 0.5000 0.7182
Mo 0.0000 0.0000 0.5610
Mo 0.5000 0.5000 0.3148
CELL_PARAMETERS angstrom
2.9222 0.0000 0.0000
0.0000 2.9222 0.0000
0.0000 0.0000 8.3920
```

---

DFT (GGA-PBE) results for a relaxed Co2NiBr crystal. Values from VASP.

- Distance to the lowest polymorph of the same formula: 0.0000 eV/atom
- Raw formation energy: 1.6 eV per formula unit

Structure (Quantum ESPRESSO input):
```
&SYSTEM
  ibrav = 0, nat = 4, ntyp = 3
/
ATOMIC_SPECIES
Co 58.93 Co.upf
Ni 58.69 Ni.upf
Br 79.90 Br.upf
ATOMIC_POSITIONS crystal
Co 0.0000 0.0000 0.0000
Co 0.4991 0.5000 0.8231
Ni 0.9978 0.0000 0.6291
Br 0.0066 0.5000 0.3154
CELL_PARAMETERS angstrom
3.1656 0.0000 0.0000
0.0000 2.8893 0.0000
-0.0139 0.0000 6.6311
```

---

DFT (GGA-PBE) results for a relaxed Zn2InMo crystal. Values from VASP.

- Energy of formation from the pure elements: 0.49 eV per atom

Structure (Quantum ESPRESSO input):
```
&SYSTEM
  ibrav = 0, nat = 16, ntyp = 3
/
ATOMIC_SPECIES
Zn 65.41 Zn.upf
In 114.82 In.upf
Mo 95.94 Mo.upf
ATOMIC_POSITIONS crystal
Zn 0.0000 0.0000 0.0000
Zn 0.0000 0.5000 0.5000
Zn 0.2500 0.2500 0.2500
Zn 0.2500 0.7500 0.7500
Zn 0.5000 0.0000 0.5000
Zn 0.5000 0.5000 0.0000
Zn 0.7500 0.2500 0.7500
Zn 0.7500 0.7500 0.2500
In 0.0000 0.0000 0.5000
In 0.0000 0.5000 0.0000
In 0.5000 0.0000 0.0000
In 0.5000 0.5000 0.5000
Mo 0.2500 0.2500 0.7500
Mo 0.2500 0.7500 0.2500
Mo 0.7500 0.2500 0.2500
Mo 0.7500 0.7500 0.7500
CELL_PARAMETERS angstrom
6.4760 0.0000 0.0000
0.0000 6.4760 0.0000
0.0000 0.0000 6.4760
```

---

DFT (GGA-PBE) results for a relaxed Y2HOs crystal. Values from VASP.

- Distance to the lowest polymorph of the same formula: 0.0621 eV/atom

Structure (Quantum ESPRESSO input):
```
&SYSTEM
  ibrav = 0, nat = 16, ntyp = 3
/
ATOMIC_SPECIES
Y 88.91 Y.upf
H 1.01 H.upf
Os 190.23 Os.upf
ATOMIC_POSITIONS crystal
Y 0.2500 0.2500 0.2500
Y 0.2500 0.2500 0.7500
Y 0.2500 0.7500 0.2500
Y 0.2500 0.7500 0.7500
Y 0.7500 0.2500 0.2500
Y 0.7500 0.2500 0.7500
Y 0.7500 0.7500 0.2500
Y 0.7500 0.7500 0.7500
H 0.0000 0.0000 0.0000
H 0.0000 0.5000 0.5000
H 0.5000 0.0000 0.5000
H 0.5000 0.5000 0.0000
Os 0.0000 0.0000 0.5000
Os 0.0000 0.5000 0.0000
Os 0.5000 0.0000 0.0000
Os 0.5000 0.5000 0.5000
CELL_PARAMETERS angstrom
6.7225 0.0000 0.0000
0.0000 6.7225 0.0000
0.0000 0.0000 6.7225
```

---

Number 4 is which compound? Y2HOs